This record from Alexandria via LeMat-Bulk describes a relaxed structure of CaAc2Al3Ag4. The functional is PBE-GGA.

```
CaAc2Al3Ag4
1.0
4.670 0.000 0.000
0.000 4.670 0.000
0.000 0.000 11.326
Ca Ac Al Ag
1 2 3 4
direct
0.000 0.000 0.000 Ca
0.000 0.500 0.725 Ac
0.500 0.000 0.275 Ac
0.000 0.500 0.383 Al
0.500 0.000 0.617 Al
0.500 0.500 0.000 Al
0.000 0.000 0.500 Ag
0.000 0.500 0.154 Ag
0.500 0.000 0.846 Ag
0.500 0.500 0.500 Ag
```

formation energy = -0.29 eV/atom
symmetry = P-4m2 (115)
E = -3.57 eV/atom
crystal system = tetragonal